Entry 1:
VASP calculation (PBE) on crystalline TlSbPb at its relaxed geometry.

```
data_TlSbPb
_cell_length_a 4.5954
_cell_length_b 12.1596
_cell_length_c 8.9798
_cell_angle_alpha 116.07
_cell_angle_beta 104.83
_cell_angle_gamma 90.00
_space_group_name_H-M_alt 'P 1'
_space_group_IT_number 1
loop_
_space_group_symop_operation_xyz
'x,y,z'
loop_
_atom_site_label
_atom_site_fract_x
_atom_site_fract_y
_atom_site_fract_z
Tl1 0.9646 0.3458 0.9293
Tl2 0.5142 0.1753 0.0283
Tl3 0.4858 0.8247 0.9717
Tl4 0.0354 0.6542 0.0707
Pb1 0.2545 0.6183 0.5090
Pb2 0.7061 0.8468 0.4121
Pb3 0.7455 0.3817 0.4910
Pb4 0.2939 0.1532 0.5879
Sb1 0.3824 0.4813 0.7648
Sb2 0.6643 0.0877 0.3286
Sb3 0.6176 0.5187 0.2352
Sb4 0.3357 0.9123 0.6714
```

Values from the calculation:
relative energy among the computed polymorphs: 65 meV/atom
formation energy (no corrections): 0.033 eV per atom

***

Entry 2:
VASP calculation (PBE) on crystalline SrNiP2Pd at its relaxed geometry.

```
data_SrNiP2Pd
_cell_length_a 4.1580
_cell_length_b 4.1580
_cell_length_c 5.6857
_cell_angle_alpha 111.45
_cell_angle_beta 111.45
_cell_angle_gamma 90.00
_space_group_name_H-M_alt 'P 1'
_space_group_IT_number 1
loop_
_space_group_symop_operation_xyz
'x,y,z'
loop_
_atom_site_label
_atom_site_fract_x
_atom_site_fract_y
_atom_site_fract_z
Sr1 0.0000 0.0000 0.0000
Ni1 0.2500 0.7500 0.5000
P1 0.6207 0.6207 0.2414
P2 0.3793 0.3793 0.7586
Pd1 0.7500 0.2500 0.5000
```

Values from the calculation:
energy relative to the elements: -3.77 eV per formula unit

***

Entry 3:
VASP calculation (PBE) on crystalline BeTlSe2 at its relaxed geometry.

```
data_BeTlSe2
_cell_length_a 7.3814
_cell_length_b 7.3814
_cell_length_c 7.3814
_cell_angle_alpha 37.71
_cell_angle_beta 37.71
_cell_angle_gamma 37.71
_space_group_name_H-M_alt 'P 1'
_space_group_IT_number 1
loop_
_space_group_symop_operation_xyz
'x,y,z'
loop_
_atom_site_label
_atom_site_fract_x
_atom_site_fract_y
_atom_site_fract_z
Be1 0.0000 0.0000 0.0000
Tl1 0.5000 0.5000 0.5000
Se1 0.0981 0.0981 0.0981
Se2 0.9019 0.9019 0.9019
```

Values from the calculation:
relative energy among the computed polymorphs: 253 meV/atom
formation energy (no corrections): -0.157 eV per atom

***

Entry 4:
VASP calculation (PBE) on crystalline P2AuBr at its relaxed geometry.

```
data_P2AuBr
_cell_length_a 6.7136
_cell_length_b 6.7136
_cell_length_c 6.7136
_cell_angle_alpha 34.37
_cell_angle_beta 34.37
_cell_angle_gamma 34.37
_space_group_name_H-M_alt 'P 1'
_space_group_IT_number 1
loop_
_space_group_symop_operation_xyz
'x,y,z'
loop_
_atom_site_label
_atom_site_fract_x
_atom_site_fract_y
_atom_site_fract_z
Au1 0.2500 0.2500 0.2500
Br1 0.7500 0.7500 0.7500
P1 0.9698 0.9698 0.9698
P2 0.5302 0.5302 0.5302
```

Values from the calculation:
relative energy among the computed polymorphs: 170 meV/atom
formation energy (no corrections): 0.281 eV per atom

***

Number 1: DOS(E_F) 0.296 states/eV per atom, E_tot -3.37 eV per atom. Number 2: DOS(E_F) 0.412 states/eV per atom, E_tot -5.45 eV per atom. Number 3: DOS(E_F) 0.525 states/eV per atom, E_tot -3.42 eV per atom. Number 4: DOS(E_F) 0.484 states/eV per atom, E_tot -3.66 eV per atom.